Below is crystalline AcGaMoO6 at its relaxed geometry, with properties calculated at the GGA+U level.

Cell and atoms, written as POSCAR:
```
AcGaMoO6
1.0
5.0103 0.0000 0.0000
0.0000 5.0103 0.0000
0.0000 0.0000 9.8188
Ac Ga Mo O
2 2 2 12
Direct
0.0000 0.0000 0.0000
0.5000 0.5000 0.5000
0.0000 0.0000 0.6707
0.5000 0.5000 0.1707
0.0000 0.0000 0.3377
0.5000 0.5000 0.8377
0.1641 0.1641 0.5055
0.2115 0.2115 0.2149
0.2266 0.2266 0.8133
0.2734 0.7266 0.3133
0.2885 0.7115 0.7149
0.3359 0.6641 0.0055
0.6641 0.3359 0.0055
0.7115 0.2885 0.7149
0.7266 0.2734 0.3133
0.7734 0.7734 0.8133
0.7885 0.7885 0.2149
0.8359 0.8359 0.5055
```

Summary:
M_tot	0.0	μB per formula unit
E	-6.923	eV/atom
mass density	6.6	g/cm³